A:
Entry from Alexandria via LeMat-Bulk: a relaxed structure of BaCa5 (PBE-GGA).

a = 6.895 Å, b = 6.895 Å, c = 6.582 Å
α = 90.00°, β = 90.00°, γ = 120.00°
Sites, in units of the cell vectors:
Ba1 0.333 0.000 0.500
Ca1 0.990 0.000 0.000
Ca2 0.677 0.344 0.000
Ca3 0.333 0.656 0.000
Ca4 0.000 0.333 0.500
Ca5 0.667 0.667 0.500

## Properties
- symmetry = No. 189
- density (g cm⁻³) = 2.1

B:
Entry from Alexandria via LeMat-Bulk: a relaxed structure of BaCa5 (PBE-GGA).

a = 7.739 Å, b = 7.739 Å, c = 9.513 Å
α = 75.03°, β = 75.03°, γ = 29.67°
Sites, in units of the cell vectors:
Ba1 0.000 0.000 0.001
Ca1 0.669 0.669 0.659
Ca2 0.329 0.329 0.343
Ca3 0.385 0.385 0.714
Ca4 0.056 0.056 0.393
Ca5 0.727 0.727 0.057

## Properties
- symmetry = No. 8
- density (g cm⁻³) = 2.1

The structure with the greatest stability is A.

A:
Entry from Alexandria via LeMat-Bulk: a relaxed structure of Ba5Ca (PBE-GGA).

a = 7.915 Å, b = 7.915 Å, c = 7.182 Å
α = 90.00°, β = 90.00°, γ = 120.00°
Sites, in units of the cell vectors:
Ba1 0.333 0.667 0.000
Ba2 0.667 0.333 0.000
Ba3 0.500 0.000 0.500
Ba4 0.000 0.500 0.500
Ba5 0.500 0.500 0.500
Ca1 0.000 0.000 0.000

## Properties
- symmetry = No. 191
- density (g cm⁻³) = 3.1

B:
Entry from Alexandria via LeMat-Bulk: a relaxed structure of Ba5Ca (PBE-GGA).

a = 8.221 Å, b = 8.221 Å, c = 6.915 Å
α = 90.00°, β = 90.00°, γ = 130.34°
Sites, in units of the cell vectors:
Ba1 0.811 0.189 0.500
Ba2 0.632 0.368 0.000
Ba3 0.472 0.528 0.500
Ba4 0.312 0.688 0.000
Ba5 0.134 0.866 0.500
Ca1 0.972 0.028 0.000

## Properties
- symmetry = No. 65
- density (g cm⁻³) = 3.4

C:
Entry from Alexandria via LeMat-Bulk: a relaxed structure of Ba5Ca (PBE-GGA).

a = 7.574 Å, b = 7.574 Å, c = 7.167 Å
α = 90.00°, β = 90.00°, γ = 120.00°
Sites, in units of the cell vectors:
Ba1 0.005 0.000 0.000
Ba2 0.661 0.328 0.000
Ba3 0.333 0.672 0.000
Ba4 0.000 0.333 0.500
Ba5 0.667 0.667 0.500
Ca1 0.333 0.000 0.500

## Properties
- symmetry = No. 189
- density (g cm⁻³) = 3.4

D:
Entry from Alexandria via LeMat-Bulk: a relaxed structure of Ba5Ca (PBE-GGA).

a = 8.107 Å, b = 8.107 Å, c = 8.107 Å
α = 60.00°, β = 60.00°, γ = 60.00°
Sites, in units of the cell vectors:
Ba1 0.250 0.250 0.250
Ba2 0.626 0.626 0.626
Ba3 0.626 0.626 0.123
Ba4 0.123 0.626 0.626
Ba5 0.626 0.123 0.626
Ca1 0.000 0.000 0.000

## Properties
- symmetry = No. 216
- density (g cm⁻³) = 3.2

The structure with the greatest stability is B.

A:
Entry from Alexandria via LeMat-Bulk: a relaxed structure of Ba5Ca (PBE-GGA).

a = 4.963 Å, b = 10.912 Å, c = 6.929 Å
α = 71.55°, β = 90.00°, γ = 90.00°
Sites, in units of the cell vectors:
Ba1 0.000 0.000 0.000
Ba2 0.000 0.322 0.338
Ba3 0.500 0.665 0.168
Ba4 0.500 0.335 0.832
Ba5 0.000 0.678 0.662
Ca1 0.500 0.000 0.500

## Properties
- symmetry = No. 10
- density (g cm⁻³) = 3.4

B:
Entry from Alexandria via LeMat-Bulk: a relaxed structure of Ba5Ca (PBE-GGA).

a = 11.525 Å, b = 11.525 Å, c = 7.168 Å
α = 90.00°, β = 90.00°, γ = 158.01°
Sites, in units of the cell vectors:
Ba1 0.001 0.999 0.000
Ba2 0.333 0.667 0.000
Ba3 0.664 0.336 0.000
Ba4 0.450 0.550 0.500
Ba5 0.773 0.227 0.500
Ca1 0.112 0.888 0.500

## Properties
- symmetry = No. 38
- density (g cm⁻³) = 3.4

The structure with the greatest stability is A.